## CoRu3 (PBE-GGA)

Data for a relaxed structure of CoRu3.

```
CoRu3
1.0
-0.1811 1.9427 1.8696
-1.4076 -2.2886 0.2889
6.4133 -3.4177 4.1727
Ru Co
3 1
direct
0.3333 0.6667 0.7557 Ru
0.3333 0.6667 0.2443 Ru
0.0000 0.0000 0.5000 Ru
0.0000 0.0000 0.0000 Co
```

## Properties
Space group: P-6m2 (187)
Formation enthalpy at 0 K (eV/f.u.): 0.331

## Co5Ru3 (PBE-GGA)

Data for a relaxed structure of Co5Ru3.

```
Co5Ru3
1.0
-0.0204 2.6814 4.0559
-5.4260 1.0883 -4.0315
-2.9571 -6.1293 0.7526
Co Ru
10 6
direct
0.2504 0.5415 0.4589 Co
0.2553 0.9145 0.3364 Co
0.2545 0.7894 0.7053 Co
0.7546 0.7048 0.7899 Co
0.7504 0.4585 0.5419 Co
0.2456 0.6640 0.0860 Co
0.2463 0.2951 0.2110 Co
0.7552 0.3360 0.9149 Co
0.7463 0.2105 0.2955 Co
0.7455 0.0855 0.6644 Co
0.2504 0.0429 0.9574 Ru
0.2503 0.4220 0.8303 Ru
0.7504 0.8298 0.4224 Ru
0.7505 0.5781 0.1706 Ru
0.2504 0.1702 0.5785 Ru
0.7504 0.9570 0.0434 Ru
```

## Properties
Space group: C2/c (15)
Formation enthalpy at 0 K (eV/f.u.): 0.866

## Co3Ru5 (PBE-GGA)

Data for a relaxed structure of Co3Ru5.

```
Co3Ru5
1.0
7.1304 -0.0010 0.0000
3.5663 6.1745 0.0000
0.0000 0.0000 4.7590
Ru Co
10 6
direct
0.6667 0.6667 0.0000 Ru
0.3333 0.3333 0.5000 Ru
0.3333 0.3333 0.0000 Ru
0.7788 0.0000 0.2500 Ru
0.7789 0.2211 0.7500 Ru
0.2211 0.7789 0.2500 Ru
0.0000 0.7789 0.7500 Ru
0.0000 0.2211 0.2500 Ru
0.2211 0.0000 0.7500 Ru
0.6667 0.6667 0.5000 Ru
0.5927 0.0000 0.7500 Co
0.5927 0.4073 0.2500 Co
0.4073 0.5927 0.7500 Co
0.0000 0.4073 0.7500 Co
0.0000 0.5927 0.2500 Co
0.4073 0.0000 0.2500 Co
```

## Properties
Space group: P6_3/mcm (193)
Formation enthalpy at 0 K (eV/f.u.): 3.071

## Co3Ru (PBE-GGA)

Data for a relaxed structure of Co3Ru.

```
Co3Ru
1.0
2.5156 0.0000 -0.0088
0.0000 4.1589 0.0000
0.5705 0.0000 4.6084
Ru Co
1 3
direct
0.7500 0.5000 0.7500 Ru
0.4288 0.0000 0.4880 Co
0.0712 0.0000 0.0120 Co
0.2500 0.5000 0.2500 Co
```

## Properties
Space group: P2/m (10)
Formation enthalpy at 0 K (eV/f.u.): 0.971